(1)
A relaxed structure of Al2CdSn2. Source: the Open Quantum Materials Database, functional PBE.

a = 6.7428 Å, b = 6.7428 Å, c = 6.7428 Å
α = 139.02°, β = 139.02°, γ = 59.34°
Sites, in units of the cell vectors:
1 Al 0.7500 0.2500 0.5000
2 Al 0.2500 0.7500 0.5000
3 Cd 0.0000 0.0000 0.0000
4 Sn 0.3796 0.3796 0.0000
5 Sn 0.6204 0.6204 0.0000

final energy: -3.06 eV/atom

(2)
A relaxed structure of ZnFeCoHg. Source: the Open Quantum Materials Database, functional PBE.

a = 4.3332 Å, b = 4.3332 Å, c = 4.3332 Å
α = 60.00°, β = 60.00°, γ = 60.00°
Sites, in units of the cell vectors:
1 Co 0.5000 0.5000 0.5000
2 Fe 0.7500 0.7500 0.7500
3 Hg 0.2500 0.2500 0.2500
4 Zn 0.0000 0.0000 0.0000

energy relative to the lowest polymorph listed for this composition: 0 meV/atom
total moment: 0.972 μB per atom
ΔH_f (0 K): 308 meV per atom
final energy: -3.94 eV/atom

(3)
A relaxed structure of K2Rb3Sb2Au. Source: the Open Quantum Materials Database, functional PBE.

a = 10.4082 Å, b = 10.4082 Å, c = 10.4082 Å
α = 34.35°, β = 34.35°, γ = 34.35°
Sites, in units of the cell vectors:
1 Au 0.0000 0.0000 0.0000
2 K 0.2166 0.2166 0.2166
3 K 0.7834 0.7834 0.7834
4 Rb 0.3654 0.3654 0.3654
5 Rb 0.5000 0.5000 0.5000
6 Rb 0.6346 0.6346 0.6346
7 Sb 0.0916 0.0916 0.0916
8 Sb 0.9084 0.9084 0.9084

final energy: -2.55 eV/atom

(4)
A relaxed structure of DyNbN2O. Source: the Open Quantum Materials Database, functional PBE.

a = 5.4680 Å, b = 5.5343 Å, c = 5.9072 Å
α = 91.65°, β = 116.60°, γ = 119.27°
Sites, in units of the cell vectors:
1 Dy 0.7165 0.3629 0.0929
2 Dy 0.2645 0.6389 0.9069
3 N 0.2187 0.4232 0.2410
4 N 0.4701 0.0232 0.2708
5 N 0.7551 0.5566 0.7285
6 N 0.1738 0.1941 0.7384
7 Nb 0.3095 0.1818 0.4347
8 Nb 0.7215 0.8647 0.5662
9 O 0.8250 0.7893 0.2635
10 O 0.5452 0.9652 0.7571

total moment: 0.000 μB per atom
final energy: -9.01 eV/atom

(5)
A relaxed structure of SmAl2ZnPd2. Source: the Open Quantum Materials Database, functional PBE.

a = 5.4021 Å, b = 5.4021 Å, c = 4.2848 Å
α = 90.00°, β = 90.00°, γ = 120.30°
Sites, in units of the cell vectors:
1 Al 0.5000 0.0000 0.5000
2 Al 0.0000 0.5000 0.5000
3 Pd 0.6714 0.3286 0.0000
4 Pd 0.3286 0.6714 0.0000
5 Sm 0.0000 0.0000 0.0000
6 Zn 0.5000 0.5000 0.5000

total moment: 0.000 μB per atom
final energy: -4.75 eV/atom

(6)
A relaxed structure of HoErSn2Ir. Source: the Open Quantum Materials Database, functional PBE.

a = 5.8787 Å, b = 5.8787 Å, c = 10.8869 Å
α = 113.78°, β = 113.78°, γ = 44.86°
Sites, in units of the cell vectors:
1 Er 0.9967 0.9967 0.3279
2 Er 0.0033 0.0033 0.6721
3 Ho 0.1867 0.1867 0.1300
4 Ho 0.8133 0.8133 0.8700
5 Ir 0.7245 0.7245 0.3242
6 Ir 0.2755 0.2755 0.6758
7 Sn 0.4674 0.4674 0.1158
8 Sn 0.3454 0.3454 0.4539
9 Sn 0.6546 0.6546 0.5461
10 Sn 0.5326 0.5326 0.8842

total moment: 0.000 μB per atom
final energy: -5.98 eV/atom